# 1
8
Lattice="4.601 0.000 0.000 0.000 5.222 -2.206 0.000 0.334 5.659" Properties=species:S:1:pos:R:3 comment="Nb6AlRe PBE-GGA relaxed" relative_energy_mev_per_atom=51 sg="Amm2, No. 38" formation_energy_mev_per_atom=-168.3 pbc="T T T"
Al 2.300 2.196 2.663
Nb 2.300 4.818 1.633
Nb 0.000 0.733 1.838
Nb 0.000 3.583 3.610
Nb 2.300 1.958 -0.144
Nb 2.300 4.610 -1.222
Nb 0.000 3.351 0.803
Re 0.000 0.972 4.632

# 2
3
Lattice="-1.492 -2.102 2.686 2.029 -1.582 -2.690 4.964 0.721 3.321" Properties=species:S:1:pos:R:3 comment="SmEuH PBE-GGA relaxed" relative_energy_mev_per_atom=62 sg="P3m1, No. 156" pbc="T T T"
Sm 1.833 -1.616 2.333
Eu 4.530 0.658 3.031
H 4.103 -1.284 1.274

# 3
6
Lattice="3.735 -2.157 0.000 0.000 4.313 0.000 0.000 0.000 11.625" Properties=species:S:1:pos:R:3 comment="RbGaGe PBE-GGA relaxed" sg="P6_3/mmc, No. 194" formation_energy_mev_per_atom=-155.2 pbc="T T T"
Ge 1.245 2.157 2.906
Ge 2.490 0.000 8.719
Ga 1.245 2.157 8.719
Ga 2.490 0.000 2.906
Rb 0.000 0.000 5.812
Rb 0.000 0.000 0.000

# 4
4
Lattice="3.511 0.000 0.000 0.000 5.258 0.889 0.000 -0.890 5.257" Properties=species:S:1:pos:R:3 comment="AcTbRh2 PBE-GGA relaxed" relative_energy_mev_per_atom=300 sg="Amm2, No. 38" formation_energy_mev_per_atom=-410.0 pbc="T T T"
Tb 1.756 2.507 2.844
Rh 1.756 -0.119 2.383
Rh 1.756 2.077 5.475
Ac 0.000 -0.555 5.019

What did we get for uncorrected energy? Answer: -9.74 -6.30 -3.03 -6.27 eV per atom, in the order shown.